(1)
# MgNiS

A geometry-optimized MgNiS structure (PBE, Alexandria).

abc: 4.3290 4.3290 5.2565
angles: 90.00 90.00 90.00
Closest atoms and distances in Å follow each position.
Fractional coordinates of all 6 atoms:
Mg (0.2500, 0.2500, 0.1445)  2 Ni 2.60-2.65, 4 S 2.86
Mg (0.7500, 0.7500, 0.8555)  2 Ni 2.60-2.65, 4 S 2.86
Ni (0.2500, 0.2500, 0.6494)  4 S 2.30
Ni (0.7500, 0.7500, 0.3506)  4 S 2.30
S (0.2500, 0.7500, 0.5000)  4 Ni 2.30
S (0.7500, 0.2500, 0.5000)  4 Ni 2.30

Values from the calculation:
Space-group type = P4/nmm, No. 129
Magnetization = 0.0 μB/f.u.
Energy relative to the elements, uncorrected = -0.22 eV per atom
Density of states at the Fermi level = 1.25 states/eV/f.u.



(2)
# MgNiS

A geometry-optimized MgNiS structure (PBE, Alexandria).

abc: 4.2169 4.2169 8.2576
angles: 90.00 90.00 120.00
Closest atoms and distances in Å follow each position.
Fractional coordinates of all 6 atoms:
Mg (0.3333, 0.6667, 0.2500)  3 S 2.43
Mg (0.6667, 0.3333, 0.7500)  3 S 2.43
Ni (0.0000, 0.0000, 0.0000)  2 S 2.06
Ni (0.0000, 0.0000, 0.5000)  2 S 2.06
S (0.0000, 0.0000, 0.2500)  2 Ni 2.06
S (0.0000, 0.0000, 0.7500)  2 Ni 2.06

Values from the calculation:
Space-group type = P6_3/mmc, No. 194
Magnetization = 0.0 μB/f.u.
Energy relative to the elements, uncorrected = -0.36 eV per atom
Density of states at the Fermi level = 0.30 states/eV/f.u.



(3)
# MgNiS2

A geometry-optimized MgNiS2 structure (PBE, Alexandria).

abc: 3.4428 3.4428 21.8174
angles: 90.00 90.00 120.00
Closest atoms and distances in Å follow each position.
Fractional coordinates of all 12 atoms:
Mg (0.0000, 0.0000, 0.0000)  2 S 2.46
Mg (0.3333, 0.6667, 0.6667)  2 S 2.46
Mg (0.6667, 0.3333, 0.3333)  2 S 2.46
Ni (0.0000, 0.0000, 0.5000)  6 S 2.31
Ni (0.3333, 0.6667, 0.1667)  6 S 2.31
Ni (0.6667, 0.3333, 0.8333)  6 S 2.31
S (0.0000, 0.0000, 0.1126)  3 Ni 2.31, 1 Mg 2.46
S (0.0000, 0.0000, 0.8874)  3 Ni 2.31, 1 Mg 2.46
S (0.3333, 0.6667, 0.5541)  3 Ni 2.31, 1 Mg 2.46
S (0.3333, 0.6667, 0.7793)  3 Ni 2.31, 1 Mg 2.46
S (0.6667, 0.3333, 0.2207)  3 Ni 2.31, 1 Mg 2.46
S (0.6667, 0.3333, 0.4459)  3 Ni 2.31, 1 Mg 2.46

Values from the calculation:
Space-group type = R-3m, No. 166
Magnetization = 0.0 μB/f.u.
Energy relative to the elements, uncorrected = -0.31 eV per atom
Density of states at the Fermi level = 2.65 states/eV/f.u.



(4)
# MgNiS

A geometry-optimized MgNiS structure (PBE, Alexandria).

abc: 3.6060 3.6060 13.7109
angles: 90.00 90.00 90.00
Closest atoms and distances in Å follow each position.
Fractional coordinates of all 12 atoms:
Mg (0.0000, 0.0000, 0.0000)  6 S 2.75-2.99, 6 Ni 2.78-2.93
Mg (0.0000, 0.5000, 0.2500)  6 S 2.75-2.99, 6 Ni 2.78-2.93
Mg (0.5000, 0.0000, 0.7500)  6 S 2.75-2.99, 6 Ni 2.78-2.93
Mg (0.5000, 0.5000, 0.5000)  6 S 2.75-2.99, 6 Ni 2.78-2.93
Ni (0.0000, 0.0000, 0.5815)  3 S 2.16-2.21
Ni (0.0000, 0.5000, 0.8315)  3 S 2.16-2.21
Ni (0.5000, 0.0000, 0.3315)  3 S 2.16-2.21
Ni (0.5000, 0.5000, 0.0815)  3 S 2.16-2.21
S (0.0000, 0.0000, 0.4241)  3 Ni 2.16-2.21
S (0.0000, 0.5000, 0.6741)  3 Ni 2.16-2.21
S (0.5000, 0.0000, 0.1741)  3 Ni 2.16-2.21
S (0.5000, 0.5000, 0.9241)  3 Ni 2.16-2.21

Values from the calculation:
Space-group type = I4_1md, No. 109
Magnetization = 0.0 μB/f.u.
Energy relative to the elements, uncorrected = -0.56 eV per atom
Density of states at the Fermi level = 1.22 states/eV/f.u.



(5)
# MgNiS

A geometry-optimized MgNiS structure (PBE, Alexandria).

abc: 3.5534 3.4743 7.5346
angles: 90.00 94.70 90.00
Closest atoms and distances in Å follow each position.
Fractional coordinates of all 6 atoms:
Mg (0.0000, 0.0000, 0.0000)  1 Ni 2.43, 4 S 2.63-2.65
Mg (0.4442, 0.0000, 0.6115)  1 Ni 2.54, 4 S 2.58-2.67
Ni (0.0231, 0.0000, 0.3227)  2 S 2.14
Ni (0.5290, 0.5000, 0.1889)  2 S 2.24-2.31
S (0.4742, 0.5000, 0.8807)  1 Ni 2.31
S (0.8447, 0.5000, 0.4589)  3 Ni 2.14-2.24

Values from the calculation:
Space-group type = Pm, No. 6
Magnetization = 0.0 μB/f.u.
Energy relative to the elements, uncorrected = -0.51 eV per atom
Density of states at the Fermi level = 1.02 states/eV/f.u.



(6)
# MgNiS2

A geometry-optimized MgNiS2 structure (PBE, Alexandria).

abc: 5.3462 5.3462 10.9041
angles: 90.00 90.00 90.00
Closest atoms and distances in Å follow each position.
Fractional coordinates of all 16 atoms:
Mg (0.0000, 0.0000, 0.0000)  4 S 2.47
Mg (0.0000, 0.5000, 0.2500)  4 S 2.47
Mg (0.5000, 0.0000, 0.7500)  4 S 2.47
Mg (0.5000, 0.5000, 0.5000)  4 S 2.47
Ni (0.0000, 0.0000, 0.5000)  4 S 2.21
Ni (0.0000, 0.5000, 0.7500)  4 S 2.21
Ni (0.5000, 0.0000, 0.2500)  4 S 2.21
Ni (0.5000, 0.5000, 0.0000)  4 S 2.21
S (0.2075, 0.2500, 0.6250)  2 Ni 2.21, 2 Mg 2.47
S (0.2500, 0.7075, 0.8750)  2 Ni 2.21, 2 Mg 2.47
S (0.2500, 0.7925, 0.3750)  2 Ni 2.21, 2 Mg 2.47
S (0.2925, 0.2500, 0.1250)  2 Ni 2.21, 2 Mg 2.47
S (0.7075, 0.7500, 0.1250)  2 Ni 2.21, 2 Mg 2.47
S (0.7500, 0.2075, 0.3750)  2 Ni 2.21, 2 Mg 2.47
S (0.7500, 0.2925, 0.8750)  2 Ni 2.21, 2 Mg 2.47
S (0.7925, 0.7500, 0.6250)  2 Ni 2.21, 2 Mg 2.47

Values from the calculation:
Space-group type = I-42d, No. 122
Magnetization = 0.0 μB/f.u.
Energy relative to the elements, uncorrected = -0.70 eV per atom
Density of states at the Fermi level = 2.61 states/eV/f.u.



(7)
# Mg2NiS

A geometry-optimized Mg2NiS structure (PBE, Alexandria).

abc: 6.9473 6.9473 5.8335
angles: 90.00 90.00 90.00
Closest atoms and distances in Å follow each position.
Fractional coordinates of all 16 atoms:
Mg (0.2339, 0.7500, 0.1250)  2 S 2.49, 2 Ni 2.64
Mg (0.2500, 0.2339, 0.8750)  2 S 2.49, 2 Ni 2.64
Mg (0.2500, 0.2661, 0.3750)  2 S 2.49, 2 Ni 2.64
Mg (0.2661, 0.7500, 0.6250)  2 S 2.49, 2 Ni 2.64
Mg (0.7339, 0.2500, 0.6250)  2 S 2.49, 2 Ni 2.64
Mg (0.7500, 0.7339, 0.3750)  2 S 2.49, 2 Ni 2.64
Mg (0.7500, 0.7661, 0.8750)  2 S 2.49, 2 Ni 2.64
Mg (0.7661, 0.2500, 0.1250)  2 S 2.49, 2 Ni 2.64
Ni (0.0000, 0.0000, 0.5000)  4 Mg 2.64, 2 S 2.92
Ni (0.0000, 0.5000, 0.7500)  4 Mg 2.64, 2 S 2.92
Ni (0.5000, 0.0000, 0.2500)  4 Mg 2.64, 2 S 2.92
Ni (0.5000, 0.5000, 0.0000)  4 Mg 2.64, 2 S 2.92
S (0.0000, 0.0000, 0.0000)  4 Mg 2.49
S (0.0000, 0.5000, 0.2500)  4 Mg 2.49
S (0.5000, 0.0000, 0.7500)  4 Mg 2.49
S (0.5000, 0.5000, 0.5000)  4 Mg 2.49

Values from the calculation:
Space-group type = I-42d, No. 122
Magnetization = 0.0 μB/f.u.
Energy relative to the elements, uncorrected = -0.14 eV per atom
Density of states at the Fermi level = 0.72 states/eV/f.u.



(8)
# MgNiS

A geometry-optimized MgNiS structure (PBE, Alexandria).

abc: 3.8503 5.0052 4.7662
angles: 90.00 101.51 90.00
Closest atoms and distances in Å follow each position.
Fractional coordinates of all 6 atoms:
Mg (0.2028, 0.0000, 0.3724)  4 Ni 2.59-2.80, 4 S 2.60-2.71
Mg (0.7972, 0.5000, 0.6276)  4 Ni 2.59-2.80, 4 S 2.60-2.71
Ni (0.3606, 0.7979, 0.9137)  3 S 2.18-2.34
Ni (0.6394, 0.2979, 0.0863)  3 S 2.18-2.34
S (0.1968, 0.4992, 0.2203)  3 Ni 2.18-2.34
S (0.8032, 0.9992, 0.7797)  3 Ni 2.18-2.34

Values from the calculation:
Space-group type = P2_1, No. 4
Magnetization = 0.0 μB/f.u.
Energy relative to the elements, uncorrected = -0.51 eV per atom
Density of states at the Fermi level = 0.20 states/eV/f.u.